Record 1
Density functional theory data (PBE) for a geometry-optimized In3Hg12Bi5 structure.

The structure belongs to space group Ia-3d (No. 230); the cell edges are 17.456, 17.456 and 17.456 Å and the angles 90.00°, 90.00° and 90.00°. The inequivalent atoms are In at (0.000, 0.250, 0.125), Hg at (0.023, 0.086, 0.651), Bi at (0.000, 0.000, 0.000) and Bi at (0.000, 0.250, 0.375).

The total energy comes out at -1.426 eV/atom. Its density is 9.5 Mg/m³. For the density of states at the Fermi level, the calculation gives 59.0 states/eV per cell.



Record 2
Density functional theory data (PBE) for a geometry-optimized AcLa2PrTm structure.

The structure belongs to space group Cmcm (No. 63); the cell edges are 8.146, 12.271 and 7.689 Å and the angles 90.00°, 90.00° and 90.00°. The inequivalent atoms are Ac at (0.000, 0.243, 0.250), La at (0.205, 0.500, 0.000), Pr at (0.000, 0.063, 0.750) and Tm at (0.000, 0.309, 0.750).

The total energy comes out at -4.326 eV/atom. Its density is 7.0 Mg/m³. For the density of states at the Fermi level, the calculation gives 24.1 states/eV per cell.